Density functional theory data (PBE) for a relaxed structure of MnCoRe2.

**V**: 12.90 A^3/atom
**Energy of formation from the pure elements**: 0.04 eV per atom
**E above lowest polymorph**: 55 meV per atom
**Mass density**: 15.65 g cm⁻³
**VASP energy**: -82.0 eV for the cell shown
**D(E_F)**: 3.1 states/eV/f.u.

Unit cell a=5.3011 b=7.3663 c=2.6424 alpha=90.00 beta=90.00 gamma=90.00
Space group Cmmm (No. 65)
Unique sites:
Mn: 0.0000 0.0000 0.0000 (multiplicity 2)
Co: 0.0000 0.5000 0.0000 (multiplicity 2)
Re: 0.2500 0.2500 0.5000 (multiplicity 4)